(1)
The following is a PBE calculation of a relaxed structure of HoZn2Pb, from Alexandria.

Computed properties:
- E above lowest polymorph: 0 kJ/mol of formula units

Geometry as CIF:
```
data_HoZn2Pb
_cell_length_a 4.412
_cell_length_b 4.412
_cell_length_c 4.446
_cell_angle_alpha 90.00
_cell_angle_beta 90.00
_cell_angle_gamma 90.00
_space_group_name_H-M_alt 'P 4/m m m'
_space_group_IT_number 123
_space_group_name_Hall '-P 4 2'
loop_
_atom_site_label
_atom_site_fract_x
_atom_site_fract_y
_atom_site_fract_z
Ho1 0.000 0.000 0.000
Zn1 0.000 0.500 0.500
Pb1 0.500 0.500 0.000
```



(2)
The following is a PBE calculation of a relaxed structure of Ho7Zn2Pb2, from Alexandria.

Geometry as CIF:
```
data_Ho7Zn2Pb2
_cell_length_a 8.023
_cell_length_b 11.147
_cell_length_c 7.298
_cell_angle_alpha 90.00
_cell_angle_beta 90.00
_cell_angle_gamma 90.00
_space_group_name_H-M_alt 'C m m m'
_space_group_IT_number 65
_space_group_name_Hall '-C 2 2'
loop_
_atom_site_label
_atom_site_fract_x
_atom_site_fract_y
_atom_site_fract_z
Ho1 0.000 0.000 0.000
Ho2 0.000 0.500 0.231
Ho3 0.250 0.250 0.268
Zn1 0.000 0.286 0.000
Pb1 0.189 0.000 0.500
```



(3)
The following is a PBE calculation of a relaxed structure of HoZnPb2, from Alexandria.

Computed properties:
- E above lowest polymorph: 84 kJ/mol of formula units

Geometry as CIF:
```
data_HoZnPb2
_cell_length_a 4.9313
_cell_length_b 4.9313
_cell_length_c 15.0941
_cell_angle_alpha 90.00
_cell_angle_beta 90.00
_cell_angle_gamma 120.00
_space_group_name_H-M_alt 'R -3 m'
_space_group_IT_number 166
_space_group_name_Hall '-R 3 2"'
loop_
_atom_site_label
_atom_site_fract_x
_atom_site_fract_y
_atom_site_fract_z
Ho1 0.0000 0.0000 0.0000
Zn1 0.0000 0.0000 0.5000
Pb1 0.0000 0.0000 0.2365
```



| no. | calculated formation energy (eV/atom) |
| --- | --- |
| 1 | -0.2527 |
| 2 | -0.0434 |
| 3 | -0.0197 |